First-principles (GGA-PBEsol) data for an optimized crystal structure of NaMgAu3, as listed in the Alexandria database.

Cell: 4.9822 4.9822 4.9822 Å, 90.00 90.00 90.00°
Closest atoms and distances in Å follow each position.
Element x y z (fractional)
Na 0.0000 0.0000 0.0000  12 Au 3.52
Mg 0.5000 0.5000 0.5000  6 Au 2.49
Au 0.0000 0.5000 0.5000  2 Mg 2.49
Au 0.5000 0.0000 0.5000  2 Mg 2.49
Au 0.5000 0.5000 0.0000  2 Mg 2.49

Summary:
DOS(E_F): 0.8 states/eV/f.u.
Crystal system: cubic
ΔH_f (0 K): 0.190 eV/atom
Energy: -13.94 eV for the cell shown

First-principles (GGA-PBEsol) data for an optimized crystal structure of MgNb3Au, as listed in the Alexandria database.

Cell: 4.9475 4.9475 4.9475 Å, 90.00 90.00 90.00°
Closest atoms and distances in Å follow each position.
Element x y z (fractional)
Mg 0.0000 0.0000 0.0000  12 Nb 3.50
Nb 0.0000 0.5000 0.5000  2 Au 2.47
Nb 0.5000 0.0000 0.5000  2 Au 2.47
Nb 0.5000 0.5000 0.0000  2 Au 2.47
Au 0.5000 0.5000 0.5000  6 Nb 2.47

Summary:
DOS(E_F): 8.1 states/eV/f.u.
Crystal system: cubic
ΔH_f (0 K): 1.438 eV/atom
Energy: -30.92 eV for the cell shown

First-principles (GGA-PBEsol) data for an optimized crystal structure of NdMgAu, as listed in the Alexandria database.

Cell: 7.6970 7.6970 4.1136 Å, 90.00 90.00 120.00°
Closest atoms and distances in Å follow each position.
Element x y z (fractional)
Nd 0.0000 0.5865 0.0000  5 Au 3.10-3.18, 6 Mg 3.35-3.45
Nd 0.4135 0.4135 0.0000  5 Au 3.10-3.18, 6 Mg 3.35-3.45
Nd 0.5865 0.0000 0.0000  5 Au 3.10-3.18, 6 Mg 3.35-3.45
Mg 0.0000 0.2428 0.5000  4 Au 2.78-2.98
Mg 0.2428 0.0000 0.5000  4 Au 2.78-2.98
Mg 0.7572 0.7572 0.5000  4 Au 2.78-2.98
Au 0.0000 0.0000 0.0000  6 Mg 2.78
Au 0.3333 0.6667 0.5000  3 Mg 2.98, 6 Nd 3.10
Au 0.6667 0.3333 0.5000  3 Mg 2.98, 6 Nd 3.10

Summary:
DOS(E_F): 2.5 states/eV/f.u.
Crystal system: hexagonal
ΔH_f (0 K): -0.647 eV/atom
Energy: -38.25 eV for the cell shown

Which value of DOS(E_F) does entry 1 give? 0.8 states/eV/f.u.

Which of these has the highest DOS(E_F)? MgNb3Au

Which formula does entry 1 have? NaMgAu3